Entry from OQMD via LeMat-Bulk: crystalline MgCuBW at its relaxed geometry (PBE).

a b c (Å): 4.1487 4.1487 4.1487
angles (deg): 60.00 60.00 60.00
Last column: nearest neighbours and their distance in Å.
Element x y z (fractional)
Mg  0.0000  0.0000  0.0000  4 Cu 2.54, 4 W 2.54
Cu  0.7500  0.7500  0.7500  4 Mg 2.54, 4 B 2.54
B  0.5000  0.5000  0.5000  4 W 2.54, 4 Cu 2.54
W  0.2500  0.2500  0.2500  4 Mg 2.54, 4 B 2.54

* raw total energy: -21.07 eV/cell
* volume: 50.49 Å³/f.u.
* distance to the lowest polymorph of the same formula: 0.000 eV/atom